w) ! CoNiSnI2, relaxed, DFT GGA-PBE; values from VASP
! space group: No. 123
! total magnetic moment: 3.7 μB/f.u.
! DOS at the Fermi energy: 22.4 states/eV/cell
&SYSTEM
  ibrav = 0, nat = 5, ntyp = 4
/
ATOMIC_SPECIES
I 126.90 I.upf
Ni 58.69 Ni.upf
Co 58.93 Co.upf
Sn 118.71 Sn.upf
CELL_PARAMETERS angstrom
6.169 0.000 0.000
0.000 4.849 0.000
0.000 0.000 6.169
ATOMIC_POSITIONS angstrom
I 0.000 0.000 3.085
I 3.085 0.000 0.000
Ni 0.000 2.424 0.000
Co 3.085 2.424 3.085
Sn 0.000 0.000 0.000

***

x) ! CoNiSnI2, relaxed, DFT GGA-PBE; values from VASP
! space group: No. 123
! total magnetic moment: 1.8 μB/f.u.
! DOS at the Fermi energy: 5.1 states/eV/cell
&SYSTEM
  ibrav = 0, nat = 5, ntyp = 4
/
ATOMIC_SPECIES
I 126.90 I.upf
Ni 58.69 Ni.upf
Co 58.93 Co.upf
Sn 118.71 Sn.upf
CELL_PARAMETERS angstrom
-0.030 -0.301 -5.270
0.667 -4.477 0.252
-5.221 -0.773 0.074
ATOMIC_POSITIONS angstrom
I -2.611 -0.387 0.037
I -0.015 -0.151 -2.635
Ni 0.000 0.000 0.000
Co 0.333 -2.238 0.126
Sn -2.292 -2.776 -2.472

***

Which of them is most stable, and which least? Most stable: x); least stable: w).